# 1
Computed, not measured: a geometry-optimized BeSiCl2 structure at the GGA-PBE level of DFT.

```
BeSiCl2
1.0
0.0000 3.2897 3.2897
3.2897 0.0000 3.2897
3.2897 3.2897 0.0000
Be Si Cl
1 1 2
direct
0.0000 0.0000 0.0000
0.5000 0.5000 0.5000
0.2500 0.2500 0.2500
0.7500 0.7500 0.7500
```

Results
- formation energy from raw total energies (kJ per mole of atoms) = 61
- space-group type = Fm-3m (225)
- E above lowest polymorph (meV per atom) = 1003.3
- ρ (g/cm³) = 2.519
- crystal system = cubic

=====

# 2
Computed, not measured: a geometry-optimized PmTl2BiS4 structure at the GGA-PBE level of DFT.

```
PmTl2BiS4
1.0
7.2016 0.0000 0.0000
0.0000 4.1476 0.0000
-2.3961 0.0000 7.4706
Pm Tl Bi S
1 2 1 4
direct
0.0000 0.0000 0.0000
0.0000 0.5000 0.5000
0.5000 0.0000 0.5000
0.5000 0.5000 0.0000
0.2332 0.5000 0.2046
0.2621 0.0000 0.7926
0.7379 0.0000 0.2074
0.7668 0.5000 0.7954
```

Results
- formation energy from raw total energies (kJ per mole of atoms) = -91
- space-group type = P2/m (10)
- ρ (g/cm³) = 6.631
- crystal system = monoclinic

=====

# 3
Computed, not measured: a geometry-optimized Rb3Tb3TiS8 structure at the GGA-PBE level of DFT.

```
Rb3Tb3TiS8
1.0
3.9555 2.2837 7.8349
-3.9555 2.2837 7.8349
0.0000 -4.5674 7.8349
Rb Tb Ti S
3 3 1 8
direct
0.0000 0.5000 0.5000
0.5000 0.0000 0.5000
0.5000 0.5000 0.0000
0.0000 0.0000 0.5000
0.0000 0.5000 0.0000
0.5000 0.0000 0.0000
0.5000 0.5000 0.5000
0.2312 0.2312 0.2312
0.2553 0.7121 0.7121
0.2879 0.2879 0.7447
0.2879 0.7447 0.2879
0.7121 0.2553 0.7121
0.7121 0.7121 0.2553
0.7447 0.2879 0.2879
0.7688 0.7688 0.7688
```

Results
- formation energy from raw total energies (kJ per mole of atoms) = -166
- space-group type = R-3m (166)
- ρ (g/cm³) = 4.057
- crystal system = trigonal